Crystalline BaYTe2AuSe at its relaxed geometry. Source: OQMD via LeMat-Bulk, functional GGA-PBE.

Output
total energy: -0.180 Ha/atom

Geometry as CIF:
```
data_BaYTe2AuSe
_symmetry_space_group_name_H-M 'C m c m'
_symmetry_Int_Tables_number 63
_symmetry_space_group_name_Hall '-C 2c 2'
_cell_length_a 4.3520
_cell_length_b 15.1143
_cell_length_c 10.9319
_cell_angle_alpha 90.00
_cell_angle_beta 90.00
_cell_angle_gamma 90.00
loop_
_atom_site_label
_atom_site_type_symbol
_atom_site_fract_x
_atom_site_fract_y
_atom_site_fract_z
Ba1 Ba 0.0000 0.2403 0.2500
Y1 Y 0.0000 0.5000 0.0000
Te1 Te 0.0000 0.1428 0.5501
Au1 Au 0.0000 0.0311 0.7500
Se1 Se 0.0000 0.4258 0.7500
```

Crystalline BaWAu2Se4 at its relaxed geometry. Source: OQMD via LeMat-Bulk, functional GGA-PBE.

Output
total energy: -0.180 Ha/atom

Geometry as CIF:
```
data_BaWAu2Se4
_symmetry_space_group_name_H-M 'I 2 2 2'
_symmetry_Int_Tables_number 23
_symmetry_space_group_name_Hall 'I 2 2'
_cell_length_a 7.1697
_cell_length_b 7.5485
_cell_length_c 8.3943
_cell_angle_alpha 90.00
_cell_angle_beta 90.00
_cell_angle_gamma 90.00
loop_
_atom_site_label
_atom_site_type_symbol
_atom_site_fract_x
_atom_site_fract_y
_atom_site_fract_z
Ba1 Ba 0.0000 0.0000 0.0000
W1 W 0.0000 0.0000 0.5000
Au1 Au 0.0000 0.5000 0.3327
Se1 Se 0.1727 0.1959 0.6654
```

Crystalline BaYAuSe3 at its relaxed geometry. Source: OQMD via LeMat-Bulk, functional GGA-PBE.

Output
total energy: -0.189 Ha/atom

Geometry as CIF:
```
data_BaYAuSe3
_symmetry_space_group_name_H-M 'P n m a'
_symmetry_Int_Tables_number 62
_symmetry_space_group_name_Hall '-P 2ac 2n'
_cell_length_a 9.6627
_cell_length_b 4.3239
_cell_length_c 15.7564
_cell_angle_alpha 90.00
_cell_angle_beta 90.00
_cell_angle_gamma 90.00
loop_
_atom_site_label
_atom_site_type_symbol
_atom_site_fract_x
_atom_site_fract_y
_atom_site_fract_z
Ba1 Ba 0.0615 0.2500 0.1939
Y1 Y 0.1835 0.7500 0.4633
Au1 Au 0.1596 0.2500 0.6344
Se1 Se 0.0106 0.2500 0.3988
Se2 Se 0.1427 0.7500 0.0264
Se3 Se 0.1970 0.2500 0.7974
```

Crystalline BaYAuSe3 at its relaxed geometry. Source: OQMD via LeMat-Bulk, functional GGA-PBE.

Output
total energy: -0.189 Ha/atom

Geometry as CIF:
```
data_BaYAuSe3
_symmetry_space_group_name_H-M 'P n m a'
_symmetry_Int_Tables_number 62
_symmetry_space_group_name_Hall '-P 2ac 2n'
_cell_length_a 13.1366
_cell_length_b 4.2751
_cell_length_c 11.6639
_cell_angle_alpha 90.00
_cell_angle_beta 90.00
_cell_angle_gamma 90.00
loop_
_atom_site_label
_atom_site_type_symbol
_atom_site_fract_x
_atom_site_fract_y
_atom_site_fract_z
Ba1 Ba 0.1878 0.2500 0.0280
Y1 Y 0.0073 0.7500 0.6665
Au1 Au 0.1943 0.7500 0.2689
Se1 Se 0.0248 0.7500 0.1631
Se2 Se 0.1112 0.2500 0.5428
Se3 Se 0.1991 0.7500 0.8048
```

Crystalline BaYAuSe3 at its relaxed geometry. Source: OQMD via LeMat-Bulk, functional GGA-PBE.

Output
total energy: -0.189 Ha/atom

Geometry as CIF:
```
data_BaYAuSe3
_symmetry_space_group_name_H-M 'C 1 2/m 1'
_symmetry_Int_Tables_number 12
_symmetry_space_group_name_Hall '-C 2y'
_cell_length_a 18.5283
_cell_length_b 4.1953
_cell_length_c 8.6977
_cell_angle_alpha 90.00
_cell_angle_beta 100.60
_cell_angle_gamma 90.00
loop_
_atom_site_label
_atom_site_type_symbol
_atom_site_fract_x
_atom_site_fract_y
_atom_site_fract_z
Ba1 Ba 0.1306 0.0000 0.0805
Y1 Y 0.1637 0.0000 0.5890
Au1 Au 0.0421 0.5000 0.7128
Se1 Se 0.0000 0.0000 0.5000
Se2 Se 0.0000 0.5000 0.0000
Se3 Se 0.1763 0.5000 0.3712
Se4 Se 0.1840 0.5000 0.8227
```

Crystalline BaYAuSe3 at its relaxed geometry. Source: OQMD via LeMat-Bulk, functional GGA-PBE.

Output
total energy: -0.191 Ha/atom

Geometry as CIF:
```
data_BaYAuSe3
_symmetry_space_group_name_H-M 'P n m a'
_symmetry_Int_Tables_number 62
_symmetry_space_group_name_Hall '-P 2ac 2n'
_cell_length_a 14.3173
_cell_length_b 4.2254
_cell_length_c 10.9386
_cell_angle_alpha 90.00
_cell_angle_beta 90.00
_cell_angle_gamma 90.00
loop_
_atom_site_label
_atom_site_type_symbol
_atom_site_fract_x
_atom_site_fract_y
_atom_site_fract_z
Ba1 Ba 0.2279 0.2500 0.0451
Y1 Y 0.0160 0.2500 0.3309
Au1 Au 0.0056 0.7500 0.0968
Se1 Se 0.1002 0.2500 0.5684
Se2 Se 0.1120 0.7500 0.8686
Se3 Se 0.1448 0.7500 0.2564
```

Crystalline BaSiAu3 at its relaxed geometry. Source: OQMD via LeMat-Bulk, functional GGA-PBE.

Output
E above lowest polymorph: 0.066 eV per atom
total energy: -0.144 Ha/atom

Geometry as CIF:
```
data_BaSiAu3
_symmetry_space_group_name_H-M 'P m -3 m'
_symmetry_Int_Tables_number 221
_symmetry_space_group_name_Hall '-P 4 2 3'
_cell_length_a 5.0036
_cell_length_b 5.0036
_cell_length_c 5.0036
_cell_angle_alpha 90.00
_cell_angle_beta 90.00
_cell_angle_gamma 90.00
loop_
_atom_site_label
_atom_site_type_symbol
_atom_site_fract_x
_atom_site_fract_y
_atom_site_fract_z
Ba1 Ba 0.0000 0.0000 0.0000
Si1 Si 0.5000 0.5000 0.5000
Au1 Au 0.0000 0.5000 0.5000
```

Crystalline BaSiAu3 at its relaxed geometry. Source: OQMD via LeMat-Bulk, functional GGA-PBE.

Output
E above lowest polymorph: 0.000 eV per atom
total energy: -0.147 Ha/atom

Geometry as CIF:
```
data_BaSiAu3
_symmetry_space_group_name_H-M 'A e m 2'
_symmetry_Int_Tables_number 39
_symmetry_space_group_name_Hall 'A 2 -2b'
_cell_length_a 5.3629
_cell_length_b 9.3566
_cell_length_c 9.3552
_cell_angle_alpha 90.00
_cell_angle_beta 90.00
_cell_angle_gamma 90.00
loop_
_atom_site_label
_atom_site_type_symbol
_atom_site_fract_x
_atom_site_fract_y
_atom_site_fract_z
Ba1 Ba 0.0000 0.0000 0.0000
Si1 Si 0.3094 0.2500 0.2512
Au1 Au 0.1510 0.2500 0.7508
Au2 Au 0.5000 0.0000 0.2485
Au3 Au 0.5005 0.2500 0.0010
```